The following is a DFT calculation (PBE-GGA) of Cu6Ag6Sb4SeS12 after structural relaxation.

Output
The density is 5.02 g/cm3.

```
data_Cu6Ag6Sb4SeS12
_chemical_formula_sum 'Cu12 Ag12 Sb8 Se2 S24'
_cell_length_a 10.9438
_cell_length_b 10.9438
_cell_length_c 10.9438
_cell_angle_alpha 90.00
_cell_angle_beta 90.00
_cell_angle_gamma 90.00
_symmetry_space_group_name_H-M 'I -4 3 m'
_symmetry_Int_Tables_number 217
_symmetry_space_group_name_Hall 'I -4 2 3'
loop_
_atom_site_label
_atom_site_type_symbol
_atom_site_fract_x
_atom_site_fract_y
_atom_site_fract_z
_atom_site_occupancy
Cu1 Cu 0.0000 0.0000 0.2215 1
Ag1 Ag 0.0000 0.2500 0.5000 1
Sb1 Sb 0.2415 0.2415 0.2415 1
Se1 Se 0.0000 0.0000 0.0000 1
S1 S 0.1126 0.1126 0.6518 1
```

---

The following is a DFT calculation (PBE-GGA) of Cu6Ag6Sb4SeS12 after structural relaxation.

Output
The density is 5.22 g/cm3.

```
data_Cu6Ag6Sb4SeS12
_chemical_formula_sum 'Cu12 Ag12 Sb8 Se2 S24'
_cell_length_a 10.7992
_cell_length_b 10.7992
_cell_length_c 10.7992
_cell_angle_alpha 90.00
_cell_angle_beta 90.00
_cell_angle_gamma 90.00
_symmetry_space_group_name_H-M 'I -4 3 m'
_symmetry_Int_Tables_number 217
_symmetry_space_group_name_Hall 'I -4 2 3'
loop_
_atom_site_label
_atom_site_type_symbol
_atom_site_fract_x
_atom_site_fract_y
_atom_site_fract_z
_atom_site_occupancy
Cu1 Cu 0.0000 0.2500 0.5000 1
Ag1 Ag 0.0000 0.0000 0.2416 1
Sb1 Sb 0.2238 0.2238 0.2238 1
Se1 Se 0.0000 0.0000 0.0000 1
S1 S 0.1207 0.3702 0.3702 1
```

---

The following is a DFT calculation (PBE-GGA) of Cu6Ag6Sb4TeS12 after structural relaxation.

Output
The density is 5.24 g/cm3.

```
data_Cu6Ag6Sb4TeS12
_chemical_formula_sum 'Cu12 Ag12 Sb8 Te2 S24'
_cell_length_a 10.8725
_cell_length_b 10.8725
_cell_length_c 10.8725
_cell_angle_alpha 90.00
_cell_angle_beta 90.00
_cell_angle_gamma 90.00
_symmetry_space_group_name_H-M 'I -4 3 m'
_symmetry_Int_Tables_number 217
_symmetry_space_group_name_Hall 'I -4 2 3'
loop_
_atom_site_label
_atom_site_type_symbol
_atom_site_fract_x
_atom_site_fract_y
_atom_site_fract_z
_atom_site_occupancy
Cu1 Cu 0.0000 0.2500 0.5000 1
Ag1 Ag 0.0000 0.0000 0.2517 1
Sb1 Sb 0.2243 0.2243 0.2243 1
Te1 Te 0.0000 0.0000 0.0000 1
S1 S 0.1179 0.3691 0.3691 1
```

---

The following is a DFT calculation (PBE-GGA) of Cu6Ag6Sb4TeS12 after structural relaxation.

Output
The density is 5.01 g/cm3.

```
data_Cu6Ag6Sb4TeS12
_chemical_formula_sum 'Cu12 Ag12 Sb8 Te2 S24'
_cell_length_a 11.0391
_cell_length_b 11.0391
_cell_length_c 11.0391
_cell_angle_alpha 90.00
_cell_angle_beta 90.00
_cell_angle_gamma 90.00
_symmetry_space_group_name_H-M 'I -4 3 m'
_symmetry_Int_Tables_number 217
_symmetry_space_group_name_Hall 'I -4 2 3'
loop_
_atom_site_label
_atom_site_type_symbol
_atom_site_fract_x
_atom_site_fract_y
_atom_site_fract_z
_atom_site_occupancy
Cu1 Cu 0.0000 0.0000 0.2349 1
Ag1 Ag 0.0000 0.2500 0.5000 1
Sb1 Sb 0.2410 0.2410 0.2410 1
Te1 Te 0.0000 0.0000 0.0000 1
S1 S 0.1151 0.1151 0.6489 1
```

---

Values of energy relative to the lowest polymorph listed for this composition, in order: 4.12, 0.00, 0.00, 3.75, all in kJ/mol of atoms.